1.
# ScSbTe2C (SCAN, single point on PBEsol structure)
data_ScSbTe2C
_chemical_formula_sum 'Sc1 Sb1 Te2 C1'
_space_group_name_H-M_alt 'P 4/m m m'
_space_group_IT_number 123
_space_group_name_Hall '-P 4 2'
_cell_length_a 5.363
_cell_length_b 5.363
_cell_length_c 5.419
_cell_angle_alpha 90.00
_cell_angle_beta 90.00
_cell_angle_gamma 90.00
loop_
_atom_site_label
_atom_site_fract_x
_atom_site_fract_y
_atom_site_fract_z
Sc1 0.000 0.000 0.000
Sb1 0.000 0.000 0.500
Te1 0.000 0.500 0.000
C1 0.500 0.500 0.500
# DFT total energy in eV per atom: -25.88

2.
# Tl3TcRh (SCAN, single point on PBEsol structure)
data_Tl3TcRh
_chemical_formula_sum 'Tl3 Tc1 Rh1'
_space_group_name_H-M_alt 'P m -3 m'
_space_group_IT_number 221
_space_group_name_Hall '-P 4 2 3'
_cell_length_a 5.091
_cell_length_b 5.091
_cell_length_c 5.091
_cell_angle_alpha 90.00
_cell_angle_beta 90.00
_cell_angle_gamma 90.00
loop_
_atom_site_label
_atom_site_fract_x
_atom_site_fract_y
_atom_site_fract_z
Tl1 0.000 0.000 0.500
Tc1 0.500 0.500 0.500
Rh1 0.000 0.000 0.000
# DFT total energy in eV per atom: -56.27

3.
# TaTcMo2 (SCAN, single point on PBEsol structure)
data_TaTcMo2
_chemical_formula_sum 'Ta1 Tc1 Mo2'
_space_group_name_H-M_alt 'P m m m'
_space_group_IT_number 47
_space_group_name_Hall '-P 2 2'
_cell_length_a 3.140
_cell_length_b 4.412
_cell_length_c 4.468
_cell_angle_alpha 90.00
_cell_angle_beta 90.00
_cell_angle_gamma 90.00
loop_
_atom_site_label
_atom_site_fract_x
_atom_site_fract_y
_atom_site_fract_z
Ta1 0.000 0.000 0.000
Tc1 0.500 0.500 0.000
Mo1 0.000 0.500 0.500
Mo2 0.500 0.000 0.500
# Polymorph energy (0 for the lowest one) in eV per formula unit: 0.000

4.
# NaCa2Pd2 (SCAN, single point on PBEsol structure)
data_NaCa2Pd2
_chemical_formula_sum 'Na2 Ca4 Pd4'
_space_group_name_H-M_alt 'P 4/m b m'
_space_group_IT_number 127
_space_group_name_Hall '-P 4 2ab'
_cell_length_a 7.881
_cell_length_b 7.881
_cell_length_c 3.747
_cell_angle_alpha 90.00
_cell_angle_beta 90.00
_cell_angle_gamma 90.00
loop_
_atom_site_label
_atom_site_fract_x
_atom_site_fract_y
_atom_site_fract_z
Na1 0.000 0.000 0.000
Ca1 0.163 0.337 0.500
Pd1 0.127 0.627 0.000
# DFT total energy in eV per atom: -18.33

5.
# KMnCdCo2 (SCAN, single point on PBEsol structure)
data_KMnCdCo2
_chemical_formula_sum 'K1 Mn1 Cd1 Co2'
_space_group_name_H-M_alt 'P 4/m m m'
_space_group_IT_number 123
_space_group_name_Hall '-P 4 2'
_cell_length_a 4.475
_cell_length_b 4.475
_cell_length_c 5.313
_cell_angle_alpha 90.00
_cell_angle_beta 90.00
_cell_angle_gamma 90.00
loop_
_atom_site_label
_atom_site_fract_x
_atom_site_fract_y
_atom_site_fract_z
K1 0.000 0.000 0.000
Mn1 0.000 0.000 0.500
Cd1 0.500 0.500 0.000
Co1 0.000 0.500 0.500
# DFT total energy in eV per atom: -17.18

6.
# Sb7Pd20 (SCAN, single point on PBEsol structure)
data_Sb7Pd20
_chemical_formula_sum 'Sb21 Pd60'
_space_group_name_H-M_alt 'R -3'
_space_group_IT_number 148
_space_group_name_Hall '-R 3'
_cell_length_a 11.7178
_cell_length_b 11.7178
_cell_length_c 10.9987
_cell_angle_alpha 90.00
_cell_angle_beta 90.00
_cell_angle_gamma 120.00
loop_
_atom_site_label
_atom_site_fract_x
_atom_site_fract_y
_atom_site_fract_z
Sb1 0.0000 0.0000 0.0000
Sb2 0.0388 0.2308 0.6864
Pd1 0.0000 0.0000 0.3767
Pd2 0.0258 0.2406 0.4495
Pd3 0.0367 0.1905 0.1889
Pd4 0.0467 0.2503 0.9404
# DFT total energy in eV per atom: -34.39

7.
# LaSnAs3 (SCAN, single point on PBEsol structure)
data_LaSnAs3
_chemical_formula_sum 'La1 Sn1 As3'
_space_group_name_H-M_alt 'P m -3 m'
_space_group_IT_number 221
_space_group_name_Hall '-P 4 2 3'
_cell_length_a 5.473
_cell_length_b 5.473
_cell_length_c 5.473
_cell_angle_alpha 90.00
_cell_angle_beta 90.00
_cell_angle_gamma 90.00
loop_
_atom_site_label
_atom_site_fract_x
_atom_site_fract_y
_atom_site_fract_z
La1 0.000 0.000 0.000
Sn1 0.500 0.500 0.500
As1 0.000 0.000 0.500
# DFT total energy in eV per atom: -27.31

8.
# Ba2TaPt (SCAN, single point on PBEsol structure)
data_Ba2TaPt
_chemical_formula_sum 'Ba4 Ta2 Pt2'
_space_group_name_H-M_alt 'I m m 2'
_space_group_IT_number 44
_space_group_name_Hall 'I 2 -2'
_cell_length_a 3.884
_cell_length_b 5.486
_cell_length_c 11.768
_cell_angle_alpha 90.00
_cell_angle_beta 90.00
_cell_angle_gamma 90.00
loop_
_atom_site_label
_atom_site_fract_x
_atom_site_fract_y
_atom_site_fract_z
Ba1 0.000 0.000 0.000
Ba2 0.000 0.500 0.211
Ta1 0.000 0.000 0.410
Pt1 0.000 0.500 0.782
# Polymorph energy (0 for the lowest one) in eV per formula unit: 0.358